1 | First-principles (PBE) data for a relaxed Al2CoAu2 crystal, as listed in Alexandria via LeMat-Bulk.

Output
Space group: P4/mbm

```
data_Al2CoAu2
_chemical_formula_sum 'Al4 Co2 Au4'
_cell_length_a 7.242
_cell_length_b 7.242
_cell_length_c 3.076
_cell_angle_alpha 90.00
_cell_angle_beta 90.00
_cell_angle_gamma 90.00
_symmetry_space_group_name_H-M 'P 1'
_symmetry_Int_Tables_number 1
_symmetry_space_group_name_Hall 'P 1'
loop_
_atom_site_label
_atom_site_type_symbol
_atom_site_fract_x
_atom_site_fract_y
_atom_site_fract_z
Co1 Co 0.000 0.000 0.000
Co2 Co 0.500 0.500 0.000
Au1 Au 0.360 0.860 0.000
Au2 Au 0.860 0.640 0.000
Au3 Au 0.640 0.140 0.000
Au4 Au 0.140 0.360 0.000
Al1 Al 0.164 0.664 0.500
Al2 Al 0.664 0.836 0.500
Al3 Al 0.836 0.336 0.500
Al4 Al 0.336 0.164 0.500
```

---

2 | First-principles (PBE) data for a relaxed Al2CoAu2 crystal, as listed in Alexandria via LeMat-Bulk.

Output
Space group: P4/mbm

```
data_Al2CoAu2
_chemical_formula_sum 'Al4 Co2 Au4'
_cell_length_a 6.721
_cell_length_b 6.721
_cell_length_c 3.508
_cell_angle_alpha 90.00
_cell_angle_beta 90.00
_cell_angle_gamma 90.00
_symmetry_space_group_name_H-M 'P 1'
_symmetry_Int_Tables_number 1
_symmetry_space_group_name_Hall 'P 1'
loop_
_atom_site_label
_atom_site_type_symbol
_atom_site_fract_x
_atom_site_fract_y
_atom_site_fract_z
Co1 Co 0.000 0.000 0.000
Co2 Co 0.500 0.500 0.000
Au1 Au 0.154 0.654 0.500
Au2 Au 0.654 0.846 0.500
Au3 Au 0.846 0.346 0.500
Au4 Au 0.346 0.154 0.500
Al1 Al 0.350 0.850 0.000
Al2 Al 0.850 0.650 0.000
Al3 Al 0.650 0.150 0.000
Al4 Al 0.150 0.350 0.000
```

---

Which one sits at the bottom of the stability order? 1 does.

---

1 | First-principles (PBE) data for a relaxed AlCoAu3 crystal, as listed in Alexandria via LeMat-Bulk.

Output
Space group: Pm-3m

```
data_AlCoAu3
_chemical_formula_sum 'Al1 Co1 Au3'
_cell_length_a 4.751
_cell_length_b 4.751
_cell_length_c 4.751
_cell_angle_alpha 90.00
_cell_angle_beta 90.00
_cell_angle_gamma 90.00
_symmetry_space_group_name_H-M 'P 1'
_symmetry_Int_Tables_number 1
_symmetry_space_group_name_Hall 'P 1'
loop_
_atom_site_label
_atom_site_type_symbol
_atom_site_fract_x
_atom_site_fract_y
_atom_site_fract_z
Co1 Co 0.500 0.500 0.500
Au1 Au 0.000 0.500 0.000
Au2 Au 0.000 0.000 0.500
Au3 Au 0.500 0.000 0.000
Al1 Al 0.000 0.000 0.000
```

---

2 | First-principles (PBE) data for a relaxed AlCoAu3 crystal, as listed in Alexandria via LeMat-Bulk.

Output
Space group: Pm-3m

```
data_AlCoAu3
_chemical_formula_sum 'Al1 Co1 Au3'
_cell_length_a 4.800
_cell_length_b 4.800
_cell_length_c 4.800
_cell_angle_alpha 90.00
_cell_angle_beta 90.00
_cell_angle_gamma 90.00
_symmetry_space_group_name_H-M 'P 1'
_symmetry_Int_Tables_number 1
_symmetry_space_group_name_Hall 'P 1'
loop_
_atom_site_label
_atom_site_type_symbol
_atom_site_fract_x
_atom_site_fract_y
_atom_site_fract_z
Co1 Co 0.000 0.000 0.000
Au1 Au 0.000 0.500 0.000
Au2 Au 0.000 0.000 0.500
Au3 Au 0.500 0.000 0.000
Al1 Al 0.500 0.500 0.500
```

---

Which one sits at the bottom of the stability order? 1 does.

---

1 | First-principles (PBE) data for a relaxed AlCr3Au crystal, as listed in Alexandria via LeMat-Bulk.

Output
Space group: Pm-3m

```
data_AlCr3Au
_chemical_formula_sum 'Al1 Cr3 Au1'
_cell_length_a 4.978
_cell_length_b 4.978
_cell_length_c 4.978
_cell_angle_alpha 90.00
_cell_angle_beta 90.00
_cell_angle_gamma 90.00
_symmetry_space_group_name_H-M 'P 1'
_symmetry_Int_Tables_number 1
_symmetry_space_group_name_Hall 'P 1'
loop_
_atom_site_label
_atom_site_type_symbol
_atom_site_fract_x
_atom_site_fract_y
_atom_site_fract_z
Cr1 Cr 0.000 0.500 0.000
Cr2 Cr 0.000 0.000 0.500
Cr3 Cr 0.500 0.000 0.000
Au1 Au 0.000 0.000 0.000
Al1 Al 0.500 0.500 0.500
```

---

2 | First-principles (PBE) data for a relaxed AlCr3Au crystal, as listed in Alexandria via LeMat-Bulk.

Output
Space group: Pm-3m

```
data_AlCr3Au
_chemical_formula_sum 'Al1 Cr3 Au1'
_cell_length_a 4.747
_cell_length_b 4.747
_cell_length_c 4.747
_cell_angle_alpha 90.00
_cell_angle_beta 90.00
_cell_angle_gamma 90.00
_symmetry_space_group_name_H-M 'P 1'
_symmetry_Int_Tables_number 1
_symmetry_space_group_name_Hall 'P 1'
loop_
_atom_site_label
_atom_site_type_symbol
_atom_site_fract_x
_atom_site_fract_y
_atom_site_fract_z
Cr1 Cr 0.000 0.500 0.000
Cr2 Cr 0.000 0.000 0.500
Cr3 Cr 0.500 0.000 0.000
Au1 Au 0.500 0.500 0.500
Al1 Al 0.000 0.000 0.000
```

---

Which one sits at the bottom of the stability order? 1 does.

---

1 | First-principles (PBE) data for a relaxed TaAlCrAu crystal, as listed in Alexandria via LeMat-Bulk.

Output
Space group: Pmmm

```
data_TaAlCrAu
_chemical_formula_sum 'Ta1 Al1 Cr1 Au1'
_cell_length_a 3.552
_cell_length_b 4.439
_cell_length_c 3.928
_cell_angle_alpha 90.00
_cell_angle_beta 90.00
_cell_angle_gamma 90.00
_symmetry_space_group_name_H-M 'P 1'
_symmetry_Int_Tables_number 1
_symmetry_space_group_name_Hall 'P 1'
loop_
_atom_site_label
_atom_site_type_symbol
_atom_site_fract_x
_atom_site_fract_y
_atom_site_fract_z
Cr1 Cr 0.000 0.000 0.000
Au1 Au 0.000 0.500 0.500
Al1 Al 0.500 0.500 0.000
Ta1 Ta 0.500 0.000 0.500
```

---

2 | First-principles (PBE) data for a relaxed TaAlCrAu crystal, as listed in Alexandria via LeMat-Bulk.

Output
Space group: R3m

```
data_TaAlCrAu
_chemical_formula_sum 'Ta3 Al3 Cr3 Au3'
_cell_length_a 4.263
_cell_length_b 4.263
_cell_length_c 13.369
_cell_angle_alpha 90.00
_cell_angle_beta 90.00
_cell_angle_gamma 120.00
_symmetry_space_group_name_H-M 'P 1'
_symmetry_Int_Tables_number 1
_symmetry_space_group_name_Hall 'P 1'
loop_
_atom_site_label
_atom_site_type_symbol
_atom_site_fract_x
_atom_site_fract_y
_atom_site_fract_z
Cr1 Cr 0.000 0.000 0.026
Cr2 Cr 0.333 0.667 0.693
Cr3 Cr 0.667 0.333 0.359
Au1 Au 0.000 0.000 0.635
Au2 Au 0.333 0.667 0.302
Au3 Au 0.667 0.333 0.969
Al1 Al 0.000 0.000 0.216
Al2 Al 0.333 0.667 0.882
Al3 Al 0.667 0.333 0.549
Ta1 Ta 0.000 0.000 0.433
Ta2 Ta 0.333 0.667 0.099
Ta3 Ta 0.667 0.333 0.766
```

---

Which one sits at the bottom of the stability order? 2 does.

---

1 | First-principles (PBE) data for a relaxed TaAlCrAu crystal, as listed in Alexandria via LeMat-Bulk.

Output
Space group: P2/m

```
data_TaAlCrAu
_chemical_formula_sum 'Ta1 Al1 Cr1 Au1'
_cell_length_a 5.006
_cell_length_b 2.795
_cell_length_c 5.053
_cell_angle_alpha 90.00
_cell_angle_beta 117.03
_cell_angle_gamma 90.00
_symmetry_space_group_name_H-M 'P 1'
_symmetry_Int_Tables_number 1
_symmetry_space_group_name_Hall 'P 1'
loop_
_atom_site_label
_atom_site_type_symbol
_atom_site_fract_x
_atom_site_fract_y
_atom_site_fract_z
Cr1 Cr 0.500 0.000 0.000
Au1 Au 0.500 0.500 0.500
Al1 Al 0.000 0.500 0.000
Ta1 Ta 0.000 0.000 0.500
```

---

2 | First-principles (PBE) data for a relaxed TaAlCrAu crystal, as listed in Alexandria via LeMat-Bulk.

Output
Space group: Cm

```
data_TaAlCrAu
_chemical_formula_sum 'Ta2 Al2 Cr2 Au2'
_cell_length_a 8.563
_cell_length_b 3.108
_cell_length_c 4.893
_cell_angle_alpha 90.00
_cell_angle_beta 94.63
_cell_angle_gamma 90.00
_symmetry_space_group_name_H-M 'P 1'
_symmetry_Int_Tables_number 1
_symmetry_space_group_name_Hall 'P 1'
loop_
_atom_site_label
_atom_site_type_symbol
_atom_site_fract_x
_atom_site_fract_y
_atom_site_fract_z
Cr1 Cr 0.348 0.000 0.771
Cr2 Cr 0.348 0.500 0.271
Au1 Au 0.607 0.000 0.158
Au2 Au 0.607 0.500 0.658
Al1 Al 0.853 0.000 0.848
Al2 Al 0.853 0.500 0.348
Ta1 Ta 0.120 0.000 0.242
Ta2 Ta 0.120 0.500 0.742
```

---

3 | First-principles (PBE) data for a relaxed TaAlCrAu crystal, as listed in Alexandria via LeMat-Bulk.

Output
Space group: Pm

```
data_TaAlCrAu
_chemical_formula_sum 'Ta1 Al1 Cr1 Au1'
_cell_length_a 2.792
_cell_length_b 4.229
_cell_length_c 5.326
_cell_angle_alpha 90.00
_cell_angle_beta 94.09
_cell_angle_gamma 90.00
_symmetry_space_group_name_H-M 'P 1'
_symmetry_Int_Tables_number 1
_symmetry_space_group_name_Hall 'P 1'
loop_
_atom_site_label
_atom_site_type_symbol
_atom_site_fract_x
_atom_site_fract_y
_atom_site_fract_z
Cr1 Cr 0.682 0.000 0.717
Au1 Au 0.199 0.500 0.995
Al1 Al 0.223 0.500 0.518
Ta1 Ta 0.730 0.000 0.250
```

---

4 | First-principles (PBE) data for a relaxed TaAlCrAu crystal, as listed in Alexandria via LeMat-Bulk.

Output
Space group: Imm2

```
data_TaAlCrAu
_chemical_formula_sum 'Ta2 Al2 Cr2 Au2'
_cell_length_a 4.476
_cell_length_b 3.376
_cell_length_c 8.298
_cell_angle_alpha 90.00
_cell_angle_beta 90.00
_cell_angle_gamma 90.00
_symmetry_space_group_name_H-M 'P 1'
_symmetry_Int_Tables_number 1
_symmetry_space_group_name_Hall 'P 1'
loop_
_atom_site_label
_atom_site_type_symbol
_atom_site_fract_x
_atom_site_fract_y
_atom_site_fract_z
Cr1 Cr 0.000 0.000 0.123
Cr2 Cr 0.500 0.500 0.623
Au1 Au 0.000 0.000 0.620
Au2 Au 0.500 0.500 0.120
Al1 Al 0.000 0.500 0.372
Al2 Al 0.500 0.000 0.872
Ta1 Ta 0.000 0.500 0.892
Ta2 Ta 0.500 0.000 0.392
```

---

Which one sits at the bottom of the stability order? 2 does.